! GGA-PBE RbTlSn, optimized geometry; values from VASP
&SYSTEM
  ibrav = 0, nat = 3, ntyp = 3
/
ATOMIC_SPECIES
Rb 85.47 Rb.upf
Tl 204.38 Tl.upf
Sn 118.71 Sn.upf
ATOMIC_POSITIONS crystal
Rb 0.000 0.000 0.000
Tl 0.685 0.685 0.000
Sn 0.317 0.317 0.000
CELL_PARAMETERS angstrom
-1.856 1.856 7.664
1.856 -1.856 7.664
1.856 1.856 -7.664
! - formation enthalpy at 0 K (kJ/mol of formula units) = -22
! - magnetization (μB per formula unit) = 0.00
! - crystal system = tetragonal